The following is a DFT calculation (PBE) of crystalline SbAsPb2 at its relaxed geometry.

Output
As for the final energy: -3.831 eV/atom. As for the formation energy without anion corrections: 0.216 eV per atom. As for the excess energy over the best structure of this formula in the dataset: 0.161 eV per atom.

abc: 10.8311 10.8311 10.8311
angles: 18.48 18.48 18.48
Closest atoms and distances in Å follow each position.
Atoms (fractional coordinates):
Sb 0.2500 0.2500 0.2500  6 Sb 3.48, 6 Pb 3.48
Pb 0.4942 0.4942 0.4942  3 As 3.19, 6 Pb 3.48, 3 Sb 3.48
Pb 0.0058 0.0058 0.0058  3 As 3.19, 6 Pb 3.48, 3 Sb 3.48
As 0.7500 0.7500 0.7500  6 Pb 3.19, 6 As 3.48

The following is a DFT calculation (PBE) of crystalline Sb2AsPb2 at its relaxed geometry.

Output
As for the final energy: -3.861 eV/atom. As for the formation energy without anion corrections: 0.201 eV per atom. As for the excess energy over the best structure of this formula in the dataset: 0.016 eV per atom.

abc: 7.7106 7.7106 4.9667
angles: 90.00 90.00 90.00
Closest atoms and distances in Å follow each position.
Atoms (fractional coordinates):
Sb 0.1432 0.3568 0.0000  2 As 2.96, 1 Sb 3.12, 2 Pb 3.22
Pb 0.8305 0.3305 0.5000  6 Sb 3.22-3.47
Pb 0.6695 0.8305 0.5000  6 Sb 3.22-3.47
Sb 0.3568 0.8568 0.0000  2 As 2.96, 1 Sb 3.12, 2 Pb 3.22
Sb 0.6432 0.1432 0.0000  2 As 2.96, 1 Sb 3.12, 2 Pb 3.22
Pb 0.1695 0.6695 0.5000  6 Sb 3.22-3.47
Pb 0.3305 0.1695 0.5000  6 Sb 3.22-3.47
Sb 0.8568 0.6432 0.0000  2 As 2.96, 1 Sb 3.12, 2 Pb 3.22
As 0.0000 0.0000 0.0000  4 Sb 2.96
As 0.5000 0.5000 0.0000  4 Sb 2.96

The following is a DFT calculation (PBE) of crystalline SbAsPb4 at its relaxed geometry.

Output
As for the final energy: -3.894 eV/atom. As for the formation energy without anion corrections: 0.041 eV per atom. As for the excess energy over the best structure of this formula in the dataset: 0.000 eV per atom.

abc: 6.6058 7.0376 6.9503
angles: 123.63 101.06 119.12
Closest atoms and distances in Å follow each position.
Atoms (fractional coordinates):
Pb 0.7232 0.7322 0.4049  1 As 3.03, 2 Sb 3.23-3.25
As 0.6909 0.1604 0.4323  6 Pb 2.97-3.16
Pb 0.3132 0.8545 0.8081  2 As 3.13-3.16, 1 Sb 3.18
Pb 0.0381 0.5421 0.0846  2 As 3.08-3.09, 1 Sb 3.14
Sb 0.0491 0.0975 0.0778  6 Pb 3.14-3.25
Pb 0.4354 0.3633 0.6923  1 As 2.97, 2 Sb 3.23-3.25

The following is a DFT calculation (PBE) of crystalline SbAsPb2 at its relaxed geometry.

Output
As for the final energy: -3.884 eV/atom. As for the formation energy without anion corrections: 0.163 eV per atom. As for the excess energy over the best structure of this formula in the dataset: 0.107 eV per atom.

abc: 4.4319 5.0180 5.0180
angles: 90.00 90.00 90.00
Closest atoms and distances in Å follow each position.
Atoms (fractional coordinates):
As 0.5000 0.0000 0.5000  8 Pb 3.35, 4 Sb 3.55
Pb 0.0000 0.5000 0.5000  4 Sb 3.35, 4 As 3.35, 4 Pb 3.55
Pb 0.0000 0.0000 0.0000  4 Sb 3.35, 4 As 3.35, 4 Pb 3.55
Sb 0.5000 0.5000 0.0000  8 Pb 3.35, 4 As 3.55

The following is a DFT calculation (PBE) of crystalline SbAsPb4 at its relaxed geometry.

Output
As for the final energy: -3.503 eV/atom. As for the formation energy without anion corrections: 0.431 eV per atom. As for the excess energy over the best structure of this formula in the dataset: 0.390 eV per atom.

abc: 6.4275 6.4275 6.4275
angles: 60.00 60.00 60.00
Closest atoms and distances in Å follow each position.
Atoms (fractional coordinates):
As 0.0000 0.0000 0.0000  12 Pb 3.77, 4 Sb 3.94
Pb 0.3749 0.8753 0.3749  6 Pb 3.21-3.22
Sb 0.7500 0.7500 0.7500  12 Pb 3.77, 4 As 3.94
Pb 0.3749 0.3749 0.3749  6 Pb 3.21-3.22
Pb 0.3749 0.3749 0.8753  6 Pb 3.21-3.22
Pb 0.8753 0.3749 0.3749  6 Pb 3.21-3.22

The following is a DFT calculation (PBE) of crystalline Sb2AsPb2 at its relaxed geometry.

Output
As for the final energy: -3.748 eV/atom. As for the formation energy without anion corrections: 0.314 eV per atom. As for the excess energy over the best structure of this formula in the dataset: 0.129 eV per atom.

abc: 8.1175 8.1175 4.7721
angles: 90.00 90.00 90.00
Closest atoms and distances in Å follow each position.
Atoms (fractional coordinates):
Sb 0.3766 0.1234 0.5000  1 Sb 2.83
Sb 0.1234 0.6234 0.5000  1 Sb 2.83
Pb 0.6798 0.1798 0.0000  2 As 2.98, 2 Sb 3.29
As 0.5000 0.5000 0.0000  4 Pb 2.98
As 0.0000 0.0000 0.0000  4 Pb 2.98
Pb 0.8202 0.6798 0.0000  2 As 2.98, 2 Sb 3.29
Pb 0.1798 0.3202 0.0000  2 As 2.98, 2 Sb 3.29
Sb 0.6234 0.8766 0.5000  1 Sb 2.83
Pb 0.3202 0.8202 0.0000  2 As 2.98, 2 Sb 3.29
Sb 0.8766 0.3766 0.5000  1 Sb 2.83

The following is a DFT calculation (PBE) of crystalline Sb5As2Pb12 at its relaxed geometry.

Output
As for the final energy: -3.851 eV/atom. As for the formation energy without anion corrections: 0.066 eV per atom.

abc: 8.2597 10.0876 9.3408
angles: 110.56 90.00 114.17
Closest atoms and distances in Å follow each position.
Atoms (fractional coordinates):
Sb 0.2587 0.5175 0.5832  6 Pb 3.16-3.34
Pb 0.5531 0.6429 0.8752  1 As 3.04, 3 Sb 3.16-3.33
Pb 0.5010 0.0020 0.2308  2 As 2.93, 1 Sb 3.16
Pb 0.9316 0.8631 0.7635  2 As 2.98, 1 Sb 3.17
Pb 0.9102 0.3571 0.1248  1 As 3.04, 3 Sb 3.16-3.33
Pb 0.1451 0.7403 0.4501  4 Sb 3.20-3.34, 2 Pb 3.53-3.54
Pb 0.4990 0.9980 0.7692  2 As 2.93, 1 Sb 3.16
Sb 0.3170 0.6339 0.1425  7 Pb 3.16-3.33
Sb 0.0000 0.0000 0.5000  6 Pb 3.17-3.20
Pb 0.8549 0.2597 0.5499  4 Sb 3.20-3.34, 2 Pb 3.53-3.54
Sb 0.6830 0.3661 0.8575  7 Pb 3.16-3.33
Sb 0.7413 0.4825 0.4168  6 Pb 3.16-3.34
Pb 0.0898 0.6429 0.8752  1 As 3.04, 3 Sb 3.16-3.33
As 0.2583 0.0000 0.0000  6 Pb 2.93-3.04
Pb 0.4469 0.3571 0.1248  1 As 3.04, 3 Sb 3.16-3.33
As 0.7417 0.0000 0.0000  6 Pb 2.93-3.04
Pb 0.4047 0.2597 0.5499  4 Sb 3.20-3.34, 2 Pb 3.53-3.54
Pb 0.5953 0.7403 0.4501  4 Sb 3.20-3.34, 2 Pb 3.53-3.54
Pb 0.0684 0.1369 0.2365  2 As 2.98, 1 Sb 3.17

The following is a DFT calculation (PBE) of crystalline SbAsPb2 at its relaxed geometry.

Output
As for the final energy: -3.869 eV/atom. As for the formation energy without anion corrections: 0.178 eV per atom. As for the excess energy over the best structure of this formula in the dataset: 0.123 eV per atom.

abc: 5.3816 5.3816 5.3816
angles: 60.00 60.00 60.00
Closest atoms and distances in Å follow each position.
Atoms (fractional coordinates):
Pb 0.2500 0.2500 0.2500  4 As 3.30, 4 Sb 3.30
Sb 0.5000 0.5000 0.5000  8 Pb 3.30
Pb 0.7500 0.7500 0.7500  4 Sb 3.30, 4 As 3.30
As 0.0000 0.0000 0.0000  8 Pb 3.30

The following is a DFT calculation (PBE) of crystalline SbAsPb2 at its relaxed geometry.

Output
As for the final energy: -3.924 eV/atom. As for the formation energy without anion corrections: 0.123 eV per atom. As for the excess energy over the best structure of this formula in the dataset: 0.068 eV per atom.

abc: 3.9543 3.9543 7.2837
angles: 90.00 90.00 90.00
Closest atoms and distances in Å follow each position.
Atoms (fractional coordinates):
Sb 0.0000 0.0000 0.5583  4 As 2.96, 1 Pb 3.14
Pb 0.5000 0.5000 0.2598  1 As 3.15, 4 Pb 3.42
Pb 0.0000 0.0000 0.9897  1 Sb 3.14, 4 Pb 3.42
As 0.5000 0.5000 0.6922  4 Sb 2.96, 1 Pb 3.15

The following is a DFT calculation (PBE) of crystalline SbAsPb2 at its relaxed geometry.

Output
As for the final energy: -3.853 eV/atom. As for the formation energy without anion corrections: 0.194 eV per atom. As for the excess energy over the best structure of this formula in the dataset: 0.139 eV per atom.

abc: 6.8900 6.8900 8.3292
angles: 65.57 65.57 90.00
Closest atoms and distances in Å follow each position.
Atoms (fractional coordinates):
As 0.2500 0.7500 0.5000  4 Pb 2.88
Pb 0.1465 0.6250 0.2500  2 As 2.88, 2 Sb 3.05
Pb 0.8750 0.8535 0.7500  2 As 2.88, 2 Sb 3.05
Pb 0.3750 0.3965 0.7500  2 As 2.88, 2 Sb 3.05
Pb 0.6035 0.1250 0.2500  2 As 2.88, 2 Sb 3.05
Sb 0.7500 0.2500 0.5000  4 Pb 3.05
As 0.5000 0.5000 0.0000  4 Pb 2.88
Sb 0.0000 0.0000 0.0000  4 Pb 3.05

The following is a DFT calculation (PBE) of crystalline SbAsPb2 at its relaxed geometry.

Output
As for the final energy: -3.980 eV/atom. As for the formation energy without anion corrections: 0.067 eV per atom. As for the excess energy over the best structure of this formula in the dataset: 0.012 eV per atom.

abc: 6.3872 6.3872 6.3872
angles: 145.40 129.87 62.35
Closest atoms and distances in Å follow each position.
Atoms (fractional coordinates):
Pb 0.7473 0.2473 0.5000  4 As 3.31, 4 Sb 3.54-3.71, 4 Pb 3.60-3.63
Pb 0.0306 0.0306 0.0000  2 As 3.20, 4 Sb 3.40
As 0.2658 0.7658 0.5000  2 Sb 2.82
Sb 0.4563 0.4563 0.0000  2 As 2.82

The following is a DFT calculation (PBE) of crystalline SbAsPb2 at its relaxed geometry.

Output
As for the final energy: -3.914 eV/atom. As for the formation energy without anion corrections: 0.133 eV per atom. As for the excess energy over the best structure of this formula in the dataset: 0.077 eV per atom.

abc: 3.8122 3.4088 9.2685
angles: 68.72 90.00 90.00
Closest atoms and distances in Å follow each position.
Atoms (fractional coordinates):
As 0.5000 0.7500 0.7500  8 Pb 3.19-3.20, 2 As 3.41
Pb 0.0000 0.4679 0.5281  4 As 3.19-3.20, 2 Pb 3.41, 4 Sb 3.50-3.52
Pb 0.0000 0.0321 0.9719  4 As 3.19-3.20, 2 Pb 3.41, 4 Sb 3.50-3.52
Sb 0.5000 0.2500 0.2500  4 Sb 3.41-3.81, 8 Pb 3.50-3.52

The following is a DFT calculation (PBE) of crystalline SbAsPb2 at its relaxed geometry.

Output
As for the final energy: -3.952 eV/atom. As for the formation energy without anion corrections: 0.095 eV per atom. As for the excess energy over the best structure of this formula in the dataset: 0.039 eV per atom.

abc: 4.2034 4.2034 8.1715
angles: 75.10 75.10 60.00
Closest atoms and distances in Å follow each position.
Atoms (fractional coordinates):
As 0.6672 0.6672 0.9983  6 Pb 2.99-3.00
Sb 0.4989 0.4989 0.5033  6 Pb 3.22-3.26
Pb 0.2586 0.2586 0.2243  3 As 3.00, 3 Sb 3.26
Pb 0.0753 0.0753 0.7741  3 As 2.99, 3 Sb 3.22

The following is a DFT calculation (PBE) of crystalline SbAsPb2 at its relaxed geometry.

Output
As for the final energy: -3.873 eV/atom. As for the formation energy without anion corrections: 0.174 eV per atom. As for the excess energy over the best structure of this formula in the dataset: 0.119 eV per atom.

abc: 5.7789 5.7789 5.7789
angles: 129.51 129.51 74.19
Closest atoms and distances in Å follow each position.
Atoms (fractional coordinates):
As 0.7500 0.2500 0.5000  8 Pb 3.37, 4 Sb 3.49
Pb 0.0000 0.0000 0.0000  4 Sb 3.37, 4 As 3.37, 4 Pb 3.49
Sb 0.2500 0.7500 0.5000  8 Pb 3.37, 4 As 3.49
Pb 0.5000 0.5000 0.0000  4 As 3.37, 4 Sb 3.37, 4 Pb 3.49

The following is a DFT calculation (PBE) of crystalline SbAs2PbSe at its relaxed geometry.

Output
As for the final energy: -3.606 eV/atom. As for the formation energy without anion corrections: 0.517 eV per atom. As for the excess energy over the best structure of this formula in the dataset: 0.000 eV per atom.

abc: 5.2722 5.2722 5.3989
angles: 90.00 90.00 90.00
Closest atoms and distances in Å follow each position.
Atoms (fractional coordinates):
As 0.0000 0.5000 0.0000  2 Sb 2.64
Se 0.0000 0.0000 0.5000  2 Sb 2.70
Sb 0.0000 0.0000 0.0000  4 As 2.64, 2 Se 2.70
Pb 0.5000 0.5000 0.5000  4 Se 3.73, 8 As 3.77
As 0.5000 0.0000 0.0000  2 Sb 2.64

The following is a DFT calculation (PBE) of crystalline SiSb2AsPb at its relaxed geometry.

Output
As for the final energy: -3.821 eV/atom. As for the formation energy without anion corrections: 0.584 eV per atom.

abc: 5.5642 4.6719 5.5642
angles: 90.00 90.00 90.00
Closest atoms and distances in Å follow each position.
Atoms (fractional coordinates):
Si 0.0000 0.5000 0.0000  2 As 2.34
Sb 0.5000 0.0000 0.0000  2 As 2.78
Sb 0.0000 0.0000 0.5000  2 As 2.78
As 0.0000 0.0000 0.0000  2 Si 2.34
Pb 0.5000 0.5000 0.5000  8 Sb 3.63, 4 Si 3.93

The following is a DFT calculation (PBE) of crystalline Sm4Sb2AsPb at its relaxed geometry.

Output
As for the final energy: -5.460 eV/atom. As for the formation energy without anion corrections: -1.025 eV per atom.

abc: 6.2599 6.2599 7.6566
angles: 114.14 114.14 90.00
Closest atoms and distances in Å follow each position.
Atoms (fractional coordinates):
As 0.7500 0.2500 0.5000  6 Sm 3.00-3.13
Sm 0.9902 0.4902 0.9803  1 As 3.00, 2 Pb 3.13, 3 Sb 3.13-3.25
Pb 0.5000 0.5000 0.0000  6 Sm 3.13-3.16
Sb 0.2500 0.7500 0.5000  6 Sm 3.13-3.25
Sm 0.7532 0.7532 0.5064  3 Sb 3.08-3.13, 2 As 3.13, 1 Pb 3.16
Sb 0.0000 0.0000 0.0000  6 Sm 3.08-3.13
Sm 0.2468 0.2468 0.4936  3 Sb 3.08-3.13, 2 As 3.13, 1 Pb 3.16
Sm 0.5098 0.0098 0.0197  1 As 3.00, 3 Sb 3.13-3.25, 2 Pb 3.13

The following is a DFT calculation (PBE) of crystalline Sm6SbAs2Pb3 at its relaxed geometry.

Output
As for the final energy: -5.326 eV/atom. As for the formation energy without anion corrections: -0.921 eV per atom.

abc: 4.2090 9.2861 10.1913
angles: 110.36 101.92 90.00
Closest atoms and distances in Å follow each position.
Atoms (fractional coordinates):
Pb 0.1627 0.8249 0.3254  6 Sm 3.25-3.32
Sm 0.6653 0.1035 0.3306  2 As 2.97, 1 Sb 3.09, 3 Pb 3.25-3.32
Pb 0.5000 0.5000 0.0000  6 Sm 3.22-3.33
As 0.1679 0.3316 0.3359  6 Sm 2.93-2.97
Sm 0.3347 0.8965 0.6694  2 As 2.97, 1 Sb 3.09, 3 Pb 3.25-3.32
Sm 0.6748 0.5599 0.3495  3 As 2.93-2.96
Sb 0.5000 0.0000 0.0000  6 Sm 3.06-3.09
Sm 0.3252 0.4401 0.6505  3 As 2.93-2.96
Pb 0.8373 0.1751 0.6746  6 Sm 3.25-3.32
As 0.8321 0.6684 0.6641  6 Sm 2.93-2.97
Sm 0.9895 0.7540 0.9789  1 As 2.95, 2 Sb 3.06, 3 Pb 3.22-3.28
Sm 0.0105 0.2460 0.0211  1 As 2.95, 2 Sb 3.06, 3 Pb 3.22-3.28

The following is a DFT calculation (PBE) of crystalline Sn2SbAsPb at its relaxed geometry.

Output
As for the final energy: -4.055 eV/atom. As for the formation energy without anion corrections: 0.042 eV per atom.

abc: 4.1768 6.0435 14.2240
angles: 124.98 90.00 90.00
Closest atoms and distances in Å follow each position.
Atoms (fractional coordinates):
Sn 0.2500 0.1945 0.7396  2 As 2.83, 1 Sb 3.12
Sn 0.7500 0.6650 0.6633  3 Sb 2.98-3.14, 1 As 3.15, 1 Pb 3.32
Sn 0.2500 0.3350 0.3367  3 Sb 2.98-3.14, 1 As 3.15, 1 Pb 3.32
Pb 0.2500 0.8216 0.0617  4 As 3.15-3.16, 1 Sn 3.32
Sb 0.7500 0.7559 0.4672  4 Sn 2.98-3.14, 2 Sb 3.28
Sn 0.7500 0.8055 0.2604  2 As 2.83, 1 Sb 3.12
Pb 0.7500 0.1784 0.9383  4 As 3.15-3.16, 1 Sn 3.32
As 0.7500 0.5723 0.8597  3 Sn 2.83-3.15, 4 Pb 3.15-3.16
Sb 0.2500 0.2441 0.5328  4 Sn 2.98-3.14, 2 Sb 3.28
As 0.2500 0.4277 0.1403  3 Sn 2.83-3.15, 4 Pb 3.15-3.16

The following is a DFT calculation (PBE) of crystalline Sr2SbAsPb at its relaxed geometry.

Output
As for the final energy: -3.908 eV/atom. As for the formation energy without anion corrections: -0.740 eV per atom.

abc: 4.5128 8.7573 9.6244
angles: 109.37 90.00 90.00
Closest atoms and distances in Å follow each position.
Atoms (fractional coordinates):
As 0.2500 0.7875 0.8105  1 Pb 2.78, 1 Sr 3.04
Sr 0.7500 0.8059 0.5883  2 As 3.15, 2 Sb 3.39
Sr 0.2500 0.1941 0.4117  2 As 3.15, 2 Sb 3.39
Sr 0.7500 0.8447 0.0603  3 As 3.04-3.21, 1 Pb 3.30
Pb 0.7500 0.5143 0.1533  1 As 2.78
Pb 0.2500 0.4857 0.8467  1 As 2.78
Sb 0.2500 0.7645 0.3151  2 Pb 3.17, 2 Sr 3.39
As 0.7500 0.2125 0.1895  1 Pb 2.78, 1 Sr 3.04
Sr 0.2500 0.1553 0.9397  3 As 3.04-3.21, 1 Pb 3.30
Sb 0.7500 0.2355 0.6849  2 Pb 3.17, 2 Sr 3.39